# 1
First-principles (PBE-GGA) data for an optimized crystal structure of Sr2InAu9, as listed in the Alexandria database. Values from VASP.

The structure in Quantum ESPRESSO input format:
```
&SYSTEM
  ibrav = 0, nat = 12, ntyp = 3
/
ATOMIC_SPECIES
Sr 87.62 Sr.upf
In 114.82 In.upf
Au 196.97 Au.upf
ATOMIC_POSITIONS crystal
Sr 0.137 0.137 0.137
Sr 0.863 0.863 0.863
In 0.000 0.000 0.000
Au 0.080 0.586 0.586
Au 0.333 0.333 0.333
Au 0.414 0.414 0.920
Au 0.414 0.920 0.414
Au 0.500 0.500 0.500
Au 0.586 0.080 0.586
Au 0.586 0.586 0.080
Au 0.667 0.667 0.667
Au 0.920 0.414 0.414
CELL_PARAMETERS angstrom
2.876 1.661 9.344
-2.876 1.661 9.344
0.000 -3.321 9.344
```

Calculated values
- VASP energy (eV per cell) = -39.72
- calculated volume (Å³ per atom) = 22.317
- SG = No. 166
- ΔH_f (0 K) (eV/atom) = -0.344


# 2
First-principles (PBE-GGA) data for an optimized crystal structure of SrIn4Au12, as listed in the Alexandria database. Values from VASP.

The structure in Quantum ESPRESSO input format:
```
&SYSTEM
  ibrav = 0, nat = 17, ntyp = 3
/
ATOMIC_SPECIES
Sr 87.62 Sr.upf
In 114.82 In.upf
Au 196.97 Au.upf
ATOMIC_POSITIONS crystal
Sr 0.000 0.000 0.000
In 0.000 0.000 0.500
In 0.000 0.500 0.000
In 0.500 0.000 0.000
In 0.500 0.500 0.500
Au 0.146 0.498 0.352
Au 0.146 0.793 0.648
Au 0.207 0.352 0.854
Au 0.352 0.146 0.498
Au 0.352 0.854 0.207
Au 0.498 0.352 0.146
Au 0.502 0.648 0.854
Au 0.648 0.146 0.793
Au 0.648 0.854 0.502
Au 0.793 0.648 0.146
Au 0.854 0.207 0.352
Au 0.854 0.502 0.648
CELL_PARAMETERS angstrom
-4.717 4.717 4.717
4.717 -4.717 4.717
4.717 4.717 -4.717
```

Calculated values
- VASP energy (eV per cell) = -52.12
- calculated volume (Å³ per atom) = 24.701
- SG = No. 204
- ΔH_f (0 K) (eV/atom) = -0.009


What is the calculated volume in the first record?
22.317 Å³ per atom


Which of these has the lowest calculated volume?
Sr2InAu9


Repeat the first record exactly.
First-principles (PBE-GGA) data for an optimized crystal structure of Sr2InAu9, as listed in the Alexandria database. Values from VASP.

The structure in Quantum ESPRESSO input format:
```
&SYSTEM
  ibrav = 0, nat = 12, ntyp = 3
/
ATOMIC_SPECIES
Sr 87.62 Sr.upf
In 114.82 In.upf
Au 196.97 Au.upf
ATOMIC_POSITIONS crystal
Sr 0.137 0.137 0.137
Sr 0.863 0.863 0.863
In 0.000 0.000 0.000
Au 0.080 0.586 0.586
Au 0.333 0.333 0.333
Au 0.414 0.414 0.920
Au 0.414 0.920 0.414
Au 0.500 0.500 0.500
Au 0.586 0.080 0.586
Au 0.586 0.586 0.080
Au 0.667 0.667 0.667
Au 0.920 0.414 0.414
CELL_PARAMETERS angstrom
2.876 1.661 9.344
-2.876 1.661 9.344
0.000 -3.321 9.344
```

Calculated values
- VASP energy (eV per cell) = -39.72
- calculated volume (Å³ per atom) = 22.317
- SG = No. 166
- ΔH_f (0 K) (eV/atom) = -0.344